First-principles (PBE) data for an optimized crystal structure of Cu2IrCl, as listed in Alexandria.

Geometry as POSCAR:
```
Cu2IrCl
1.0
-1.430 2.241 4.427
1.430 -2.241 4.427
1.430 2.241 -4.427
Cu Ir Cl
2 1 1
direct
0.248 0.248 0.000
0.752 0.752 0.000
0.500 0.000 0.500
0.000 0.500 0.500
```

Values from the calculation:
Magnetization, μB/atom: 0.00
Volume, Å³ per atom: 14.19
SG: Immm, No. 71
Energy relative to the elements, uncorrected, eV per atom: 0.608
Offset from the most stable computed form, meV/atom: 394
Electronic total energy, eV/atom: -4.117